Entry 1:
DFT (SCAN) results for Li4Ti2Nb3Cr3O16 at its PBEsol-relaxed geometry. Values from VASP.

```
&SYSTEM
  ibrav = 0, nat = 28, ntyp = 5
/
ATOMIC_SPECIES
Li 6.94 Li.upf
Ti 47.87 Ti.upf
Nb 92.91 Nb.upf
Cr 52.00 Cr.upf
O 16.00 O.upf
ATOMIC_POSITIONS crystal
Li 0.0000 0.0000 0.0000
Li 0.0099 0.0099 0.5088
Li 0.3207 0.3207 0.3952
Li 0.6534 0.6534 0.9190
Ti 0.3186 0.3186 0.0088
Ti 0.6436 0.6436 0.5031
Nb 0.1593 0.6227 0.7251
Nb 0.6227 0.1593 0.7251
Nb 0.8180 0.8180 0.2304
Cr 0.1801 0.1801 0.7280
Cr 0.3313 0.8210 0.2265
Cr 0.8210 0.3313 0.2265
O 0.0009 0.0009 0.3261
O 0.0181 0.4627 0.8648
O 0.1551 0.6584 0.1073
O 0.1587 0.1587 0.1160
O 0.3161 0.3161 0.5856
O 0.3320 0.8241 0.6105
O 0.4627 0.0181 0.8648
O 0.4731 0.4731 0.8610
O 0.5063 0.9529 0.3561
O 0.5105 0.5105 0.3469
O 0.6472 0.6472 0.1138
O 0.6584 0.1551 0.1073
O 0.8222 0.8222 0.5983
O 0.8241 0.3320 0.6105
O 0.9529 0.5063 0.3561
O 0.9959 0.9959 0.8166
CELL_PARAMETERS angstrom
4.9487 -2.9516 0.0000
4.9487 2.9516 0.0000
-0.0701 0.0000 9.7098
```

M_tot	5.05	Bohr magnetons per cell
formation energy without anion corrections	-2.64	eV per atom

Entry 2:
DFT (SCAN) results for Li4Ti3Nb3Cr2O16 at its PBEsol-relaxed geometry. Values from VASP.

```
&SYSTEM
  ibrav = 0, nat = 28, ntyp = 5
/
ATOMIC_SPECIES
Li 6.94 Li.upf
Ti 47.87 Ti.upf
Nb 92.91 Nb.upf
Cr 52.00 Cr.upf
O 16.00 O.upf
ATOMIC_POSITIONS crystal
Li 0.0000 0.0000 0.0000
Li 0.0025 0.0025 0.5033
Li 0.3415 0.3415 0.9078
Li 0.6781 0.6781 0.3971
Ti 0.1787 0.6705 0.2217
Ti 0.6705 0.1787 0.2217
Ti 0.8433 0.8433 0.7247
Nb 0.1774 0.1774 0.2182
Nb 0.3688 0.8213 0.7160
Nb 0.8213 0.3688 0.7160
Cr 0.3402 0.3402 0.4889
Cr 0.6762 0.6762 0.9921
O 0.0033 0.0033 0.3232
O 0.0092 0.0092 0.8204
O 0.0494 0.4923 0.3496
O 0.1771 0.1771 0.6017
O 0.1795 0.6713 0.6069
O 0.3426 0.8403 0.1056
O 0.3479 0.3479 0.1080
O 0.4877 0.4877 0.3441
O 0.4923 0.0494 0.3496
O 0.5248 0.5248 0.8647
O 0.5339 0.9718 0.8498
O 0.6713 0.1795 0.6069
O 0.6976 0.6976 0.5913
O 0.8403 0.3426 0.1056
O 0.8436 0.8436 0.1115
O 0.9718 0.5339 0.8498
CELL_PARAMETERS angstrom
5.1201 -2.9398 0.0000
5.1201 2.9398 0.0000
-0.0432 0.0000 9.7229
```

M_tot	8.08	Bohr magnetons per cell
formation energy without anion corrections	-2.70	eV per atom

Entry 3:
DFT (SCAN) results for LiNbCr2Rh at its PBEsol-relaxed geometry. Values from VASP.

```
&SYSTEM
  ibrav = 0, nat = 5, ntyp = 4
/
ATOMIC_SPECIES
Li 6.94 Li.upf
Nb 92.91 Nb.upf
Cr 52.00 Cr.upf
Rh 102.91 Rh.upf
ATOMIC_POSITIONS crystal
Li 0.0000 0.0000 0.0000
Nb 0.0000 0.0000 0.5000
Cr 0.0000 0.5000 0.0000
Cr 0.5000 0.0000 0.0000
Rh 0.5000 0.5000 0.5000
CELL_PARAMETERS angstrom
3.9699 0.0000 0.0000
0.0000 3.9699 0.0000
0.0000 0.0000 4.2961
```

M_tot	5.75	Bohr magnetons per cell
E_form	0.99	eV/atom

Entry 4:
DFT (SCAN) results for LiY2NbCr at its PBEsol-relaxed geometry. Values from VASP.

```
&SYSTEM
  ibrav = 0, nat = 5, ntyp = 4
/
ATOMIC_SPECIES
Li 6.94 Li.upf
Y 88.91 Y.upf
Nb 92.91 Nb.upf
Cr 52.00 Cr.upf
ATOMIC_POSITIONS crystal
Li 0.0000 0.0000 0.0000
Y 0.0000 0.5000 0.5000
Y 0.5000 0.0000 0.5000
Nb 0.0000 0.0000 0.5000
Cr 0.5000 0.5000 0.0000
CELL_PARAMETERS angstrom
5.2345 0.0000 0.0000
0.0000 5.2345 0.0000
0.0000 0.0000 4.9266
```

M_tot	4.06	Bohr magnetons per cell
E_form	0.98	eV/atom

Entry 5:
DFT (SCAN) results for LiCrNi2 at its PBEsol-relaxed geometry. Values from VASP.

```
&SYSTEM
  ibrav = 0, nat = 4, ntyp = 3
/
ATOMIC_SPECIES
Li 6.94 Li.upf
Cr 52.00 Cr.upf
Ni 58.69 Ni.upf
ATOMIC_POSITIONS crystal
Li 0.0000 0.0000 0.0000
Cr 0.5000 0.5000 0.6994
Ni 0.0000 0.0000 0.4938
Ni 0.5000 0.5000 0.2073
CELL_PARAMETERS angstrom
2.3790 0.0000 0.0000
0.0000 3.7951 0.0000
0.0000 0.0000 4.7592
```

M_tot	2.34	Bohr magnetons per cell
E_form	0.22	eV/atom
energy above the lowest structure with this stoichiometry	0.1205	eV/atom

Entry 6:
DFT (SCAN) results for LiCrNi2 at its PBEsol-relaxed geometry. Values from VASP.

```
&SYSTEM
  ibrav = 0, nat = 8, ntyp = 3
/
ATOMIC_SPECIES
Li 6.94 Li.upf
Cr 52.00 Cr.upf
Ni 58.69 Ni.upf
ATOMIC_POSITIONS crystal
Li 0.0000 0.0000 0.0000
Li 0.5000 0.5000 0.0000
Cr 0.2307 0.0000 0.6698
Cr 0.7307 0.5000 0.6698
Ni 0.2519 0.5000 0.1770
Ni 0.4836 0.0000 0.4924
Ni 0.7519 0.0000 0.1770
Ni 0.9836 0.5000 0.4924
CELL_PARAMETERS angstrom
8.3612 0.0000 0.0000
0.0000 2.4050 0.0000
-0.6652 0.0000 4.2470
```

M_tot	0.00	Bohr magnetons per cell
E_form	0.15	eV/atom
energy above the lowest structure with this stoichiometry	0.0541	eV/atom

Entry 7:
DFT (SCAN) results for Li2CrNi at its PBEsol-relaxed geometry. Values from VASP.

```
&SYSTEM
  ibrav = 0, nat = 8, ntyp = 3
/
ATOMIC_SPECIES
Li 6.94 Li.upf
Cr 52.00 Cr.upf
Ni 58.69 Ni.upf
ATOMIC_POSITIONS crystal
Li 0.0000 0.5000 0.2500
Li 0.0000 0.5000 0.7500
Li 0.5000 0.0000 0.2500
Li 0.5000 0.0000 0.7500
Cr 0.0000 0.0000 0.0000
Cr 0.5000 0.5000 0.5000
Ni 0.0000 0.0000 0.5000
Ni 0.5000 0.5000 0.0000
CELL_PARAMETERS angstrom
3.4309 0.0000 0.0000
0.0000 3.4309 0.0000
0.0000 0.0000 8.5441
```

M_tot	7.34	Bohr magnetons per cell
E_form	0.22	eV/atom
energy above the lowest structure with this stoichiometry	0.0000	eV/atom

Entry 8:
DFT (SCAN) results for LiCrNi2 at its PBEsol-relaxed geometry. Values from VASP.

```
&SYSTEM
  ibrav = 0, nat = 4, ntyp = 3
/
ATOMIC_SPECIES
Li 6.94 Li.upf
Cr 52.00 Cr.upf
Ni 58.69 Ni.upf
ATOMIC_POSITIONS crystal
Li 0.0000 0.0000 0.0000
Cr 0.0000 0.0000 0.5000
Ni 0.5000 0.5000 0.2627
Ni 0.5000 0.5000 0.7373
CELL_PARAMETERS angstrom
2.4883 0.0000 0.0000
0.0000 2.4883 0.0000
0.0000 0.0000 7.0425
```

M_tot	0.01	Bohr magnetons per cell
E_form	0.09	eV/atom
energy above the lowest structure with this stoichiometry	0.0000	eV/atom

Entry 9:
DFT (SCAN) results for LiCrNi6 at its PBEsol-relaxed geometry. Values from VASP.

```
&SYSTEM
  ibrav = 0, nat = 32, ntyp = 3
/
ATOMIC_SPECIES
Li 6.94 Li.upf
Cr 52.00 Cr.upf
Ni 58.69 Ni.upf
ATOMIC_POSITIONS crystal
Li 0.0000 0.0000 0.2484
Li 0.0000 0.0000 0.7516
Li 0.2514 0.7486 0.0000
Li 0.7486 0.2514 0.0000
Cr 0.2498 0.7502 0.5000
Cr 0.5000 0.5000 0.2401
Cr 0.5000 0.5000 0.7599
Cr 0.7502 0.2498 0.5000
Ni 0.0000 0.0000 0.0000
Ni 0.0000 0.0000 0.5000
Ni 0.1270 0.3789 0.3772
Ni 0.1270 0.3789 0.6228
Ni 0.1290 0.3768 0.1270
Ni 0.1290 0.3768 0.8730
Ni 0.2519 0.7481 0.2539
Ni 0.2519 0.7481 0.7461
Ni 0.3768 0.1290 0.1270
Ni 0.3768 0.1290 0.8730
Ni 0.3789 0.1270 0.3772
Ni 0.3789 0.1270 0.6228
Ni 0.5000 0.5000 0.0000
Ni 0.5000 0.5000 0.5000
Ni 0.6211 0.8730 0.3772
Ni 0.6211 0.8730 0.6228
Ni 0.6232 0.8710 0.1270
Ni 0.6232 0.8710 0.8730
Ni 0.7481 0.2519 0.2539
Ni 0.7481 0.2519 0.7461
Ni 0.8710 0.6232 0.1270
Ni 0.8710 0.6232 0.8730
Ni 0.8730 0.6211 0.3772
Ni 0.8730 0.6211 0.6228
CELL_PARAMETERS angstrom
3.4612 -4.8895 0.0000
3.4612 4.8895 0.0000
0.0000 0.0000 9.8064
```

M_tot	1.36	Bohr magnetons per cell
E_form	0.01	eV/atom

Entry 10:
DFT (SCAN) results for LiCrNi at its PBEsol-relaxed geometry. Values from VASP.

```
&SYSTEM
  ibrav = 0, nat = 6, ntyp = 3
/
ATOMIC_SPECIES
Li 6.94 Li.upf
Cr 52.00 Cr.upf
Ni 58.69 Ni.upf
ATOMIC_POSITIONS crystal
Li 0.0000 0.0000 0.0000
Li 0.5000 0.5000 0.5000
Cr 0.0000 0.0000 0.3240
Cr 0.5000 0.5000 0.8240
Ni 0.0000 0.0000 0.6656
Ni 0.5000 0.5000 0.1656
CELL_PARAMETERS angstrom
2.3542 0.0000 0.0000
0.0000 3.7771 0.0000
0.0000 0.0000 7.2617
```

M_tot	3.19	Bohr magnetons per cell
E_form	0.37	eV/atom

Entry 11:
DFT (SCAN) results for Li2CrNi at its PBEsol-relaxed geometry. Values from VASP.

```
&SYSTEM
  ibrav = 0, nat = 4, ntyp = 3
/
ATOMIC_SPECIES
Li 6.94 Li.upf
Cr 52.00 Cr.upf
Ni 58.69 Ni.upf
ATOMIC_POSITIONS crystal
Li 0.0000 0.5000 0.0000
Li 0.5000 0.0000 0.0000
Cr 0.0000 0.0000 0.5000
Ni 0.5000 0.5000 0.5000
CELL_PARAMETERS angstrom
3.4531 0.0000 0.0000
0.0000 3.4531 0.0000
0.0000 0.0000 4.2919
```

M_tot	4.00	Bohr magnetons per cell
E_form	0.23	eV/atom
energy above the lowest structure with this stoichiometry	0.0098	eV/atom

Entry 12:
DFT (SCAN) results for Li4Cr3NiO8 at its PBEsol-relaxed geometry. Values from VASP.

```
&SYSTEM
  ibrav = 0, nat = 16, ntyp = 4
/
ATOMIC_SPECIES
Li 6.94 Li.upf
Cr 52.00 Cr.upf
Ni 58.69 Ni.upf
O 16.00 O.upf
ATOMIC_POSITIONS crystal
Li 0.0000 0.0000 0.0000
Li 0.0000 0.5000 0.0000
Li 0.5000 0.2420 0.0000
Li 0.5000 0.7580 0.0000
Cr 0.0000 0.2467 0.5000
Cr 0.0000 0.7533 0.5000
Cr 0.5000 0.5000 0.5000
Ni 0.5000 0.0000 0.5000
O 0.2313 0.0000 0.7343
O 0.2408 0.5000 0.7227
O 0.2519 0.2579 0.2730
O 0.2519 0.7421 0.2730
O 0.7481 0.2579 0.7270
O 0.7481 0.7421 0.7270
O 0.7592 0.5000 0.2773
O 0.7687 0.0000 0.2657
CELL_PARAMETERS angstrom
4.9801 0.0000 0.0000
0.0000 5.7592 0.0000
-1.6682 0.0000 4.7437
```

M_tot	10.00	Bohr magnetons per cell
formation energy without anion corrections	-2.31	eV per atom

Entry 13:
DFT (SCAN) results for Li3CrNi2O6 at its PBEsol-relaxed geometry. Values from VASP.

```
&SYSTEM
  ibrav = 0, nat = 12, ntyp = 4
/
ATOMIC_SPECIES
Li 6.94 Li.upf
Cr 52.00 Cr.upf
Ni 58.69 Ni.upf
O 16.00 O.upf
ATOMIC_POSITIONS crystal
Li 0.0000 0.0000 0.0000
Li 0.3298 0.3298 0.6735
Li 0.6702 0.6702 0.3265
Cr 0.0000 0.0000 0.5000
Ni 0.3343 0.3343 0.1654
Ni 0.6657 0.6657 0.8346
O 0.1576 0.1576 0.5963
O 0.1703 0.1703 0.0633
O 0.4980 0.4980 0.7298
O 0.5020 0.5020 0.2702
O 0.8297 0.8297 0.9367
O 0.8424 0.8424 0.4037
CELL_PARAMETERS angstrom
6.3217 -1.4230 0.0000
6.3217 1.4230 0.0000
-1.2769 0.0000 5.5646
```

M_tot	5.00	Bohr magnetons per cell
formation energy without anion corrections	-1.93	eV per atom

Entry 14:
DFT (SCAN) results for Li5Cr2Ni3O10 at its PBEsol-relaxed geometry. Values from VASP.

```
&SYSTEM
  ibrav = 0, nat = 20, ntyp = 4
/
ATOMIC_SPECIES
Li 6.94 Li.upf
Cr 52.00 Cr.upf
Ni 58.69 Ni.upf
O 16.00 O.upf
ATOMIC_POSITIONS crystal
Li 0.0000 0.0000 0.0000
Li 0.2006 0.0943 0.7070
Li 0.4103 0.7120 0.9053
Li 0.5897 0.2880 0.0947
Li 0.7994 0.9057 0.2930
Cr 0.2046 0.6070 0.1953
Cr 0.7954 0.3930 0.8047
Ni 0.0000 0.5000 0.5000
Ni 0.3977 0.1965 0.3982
Ni 0.6023 0.8035 0.6018
O 0.0300 0.2762 0.2660
O 0.1824 0.3680 0.9530
O 0.2132 0.8340 0.4519
O 0.3870 0.9428 0.1629
O 0.4121 0.4387 0.6443
O 0.5879 0.5613 0.3557
O 0.6130 0.0572 0.8371
O 0.7868 0.1660 0.5481
O 0.8176 0.6320 0.0470
O 0.9700 0.7238 0.7340
CELL_PARAMETERS angstrom
4.9743 0.0000 0.0000
-0.8193 4.9227 0.0000
-2.4539 -2.0933 6.7607
```

M_tot	9.00	Bohr magnetons per cell
formation energy without anion corrections	-1.98	eV per atom

Entry 15:
DFT (SCAN) results for Li4Cr3NiO8 at its PBEsol-relaxed geometry. Values from VASP.

```
&SYSTEM
  ibrav = 0, nat = 16, ntyp = 4
/
ATOMIC_SPECIES
Li 6.94 Li.upf
Cr 52.00 Cr.upf
Ni 58.69 Ni.upf
O 16.00 O.upf
ATOMIC_POSITIONS crystal
Li 0.2427 0.7573 0.0000
Li 0.2469 0.2469 0.9946
Li 0.7531 0.7531 0.0054
Li 0.7573 0.2427 0.0000
Cr 0.0000 0.5000 0.5000
Cr 0.5000 0.0000 0.5000
Cr 0.5000 0.5000 0.5000
Ni 0.0000 0.0000 0.5000
O 0.1335 0.1335 0.2706
O 0.1341 0.6183 0.2729
O 0.3707 0.3707 0.7247
O 0.3817 0.8659 0.7271
O 0.6183 0.1341 0.2729
O 0.6293 0.6293 0.2753
O 0.8659 0.3817 0.7271
O 0.8665 0.8665 0.7294
CELL_PARAMETERS angstrom
4.9911 -2.8827 0.0000
4.9911 2.8827 0.0000
-1.6661 0.0000 4.7326
```

M_tot	10.00	Bohr magnetons per cell
formation energy without anion corrections	-2.31	eV per atom

Entry 16:
DFT (SCAN) results for Li4CrNi3O8 at its PBEsol-relaxed geometry. Values from VASP.

```
&SYSTEM
  ibrav = 0, nat = 16, ntyp = 4
/
ATOMIC_SPECIES
Li 6.94 Li.upf
Cr 52.00 Cr.upf
Ni 58.69 Ni.upf
O 16.00 O.upf
ATOMIC_POSITIONS crystal
Li 0.0000 0.0000 0.0000
Li 0.0000 0.5000 0.5000
Li 0.5000 0.0000 0.5000
Li 0.5000 0.5000 0.0000
Cr 0.5000 0.5000 0.5000
Ni 0.0000 0.0000 0.5000
Ni 0.0000 0.5000 0.0000
Ni 0.5000 0.0000 0.0000
O 0.2341 0.2341 0.2341
O 0.2566 0.7378 0.7378
O 0.2622 0.2622 0.7434
O 0.2622 0.7434 0.2622
O 0.7378 0.2566 0.7378
O 0.7378 0.7378 0.2566
O 0.7434 0.2622 0.2622
O 0.7659 0.7659 0.7659
CELL_PARAMETERS angstrom
2.8617 1.6522 4.6842
-2.8617 1.6522 4.6842
0.0000 -3.3044 4.6842
```

M_tot	6.00	Bohr magnetons per cell
formation energy without anion corrections	-1.86	eV per atom

Entry 17:
DFT (SCAN) results for Li2Cr3NiO8 at its PBEsol-relaxed geometry. Values from VASP.

```
&SYSTEM
  ibrav = 0, nat = 14, ntyp = 4
/
ATOMIC_SPECIES
Li 6.94 Li.upf
Cr 52.00 Cr.upf
Ni 58.69 Ni.upf
O 16.00 O.upf
ATOMIC_POSITIONS crystal
Li 0.1260 0.1260 0.1260
Li 0.8740 0.8740 0.8740
Cr 0.0000 0.5000 0.5000
Cr 0.5000 0.0000 0.5000
Cr 0.5000 0.5000 0.0000
Ni 0.5000 0.5000 0.5000
O 0.2625 0.2625 0.2625
O 0.2617 0.2617 0.7115
O 0.2617 0.7115 0.2617
O 0.2885 0.7383 0.7383
O 0.7115 0.2617 0.2617
O 0.7383 0.2885 0.7383
O 0.7383 0.7383 0.2885
O 0.7375 0.7375 0.7375
CELL_PARAMETERS angstrom
2.8792 1.6623 4.6609
-2.8792 1.6623 4.6609
0.0000 -3.3246 4.6609
```

M_tot	8.00	Bohr magnetons per cell
formation energy without anion corrections	-2.17	eV per atom
energy above the lowest structure with this stoichiometry	0.0061	eV/atom

Entry 18:
DFT (SCAN) results for Li2Cr3NiO8 at its PBEsol-relaxed geometry. Values from VASP.

```
&SYSTEM
  ibrav = 0, nat = 28, ntyp = 4
/
ATOMIC_SPECIES
Li 6.94 Li.upf
Cr 52.00 Cr.upf
Ni 58.69 Ni.upf
O 16.00 O.upf
ATOMIC_POSITIONS crystal
Li 0.0000 0.0000 0.0000
Li 0.0000 0.0000 0.5000
Li 0.3333 0.6667 0.1050
Li 0.6667 0.3333 0.6050
Cr 0.1718 0.3435 0.7841
Cr 0.1718 0.8282 0.7841
Cr 0.3435 0.1718 0.2841
Cr 0.6565 0.8282 0.7841
Cr 0.8282 0.1718 0.2841
Cr 0.8282 0.6565 0.2841
Ni 0.3333 0.6667 0.5085
Ni 0.6667 0.3333 0.0085
O 0.0000 0.0000 0.1894
O 0.0000 0.0000 0.6894
O 0.0409 0.5204 0.6565
O 0.1643 0.3287 0.3901
O 0.1643 0.8357 0.3901
O 0.3287 0.1643 0.8901
O 0.3333 0.6667 0.8983
O 0.4796 0.5204 0.6565
O 0.4796 0.9591 0.6565
O 0.5204 0.0409 0.1565
O 0.5204 0.4796 0.1565
O 0.6667 0.3333 0.3983
O 0.6713 0.8357 0.3901
O 0.8357 0.1643 0.8901
O 0.8357 0.6713 0.8901
O 0.9591 0.4796 0.1565
CELL_PARAMETERS angstrom
5.6852 0.0000 0.0000
-2.8426 4.9235 0.0000
0.0000 0.0000 9.2548
```

M_tot	16.00	Bohr magnetons per cell
formation energy without anion corrections	-2.13	eV per atom
energy above the lowest structure with this stoichiometry	0.0474	eV/atom